{
  "formula": "InNi2Ru",
  "functional": "GGA-PBE",
  "state": "optimized geometry",
  "cell": [[-0.619, -0.967, -3.976], [2.673, -0.487, -0.298], [0.618, -4.977, 1.115]],
  "species": ["In", "Ni", "Ni", "Ru"],
  "frac_coords": [[0.500, 0.795, 0.785], [0.500, 0.055, 0.267], [0.000, 0.186, 0.002], [0.000, 0.464, 0.447]],
  "vol_a3_per_atom": 14.0,
  "ef_ev_per_atom": 0.1384
}